Entry 1:
{
  "formula": "Co4W5",
  "functional": "PBE",
  "state": "relaxed",
  "e_above_lowest_polymorph_mev_per_atom": 22,
  "sg": "P6_3/mcm",
  "e_tot_ev_per_cell": -182.22,
  "cell": [[-0.9058, 2.6890, 7.0586], [3.6417, -3.2821, 5.8173], [3.8272, 3.0545, -0.6725]],
  "species": ["Co", "Co", "Co", "Co", "Co", "Co", "Co", "Co", "W", "W", "W", "W", "W", "W", "W", "W", "W", "W"],
  "fractional_positions": [[0.0000, 0.0000, 0.0000], [0.0000, 0.0000, 0.5000], [0.6015, 0.3985, 0.2500], [0.0000, 0.6015, 0.2500], [0.3985, 0.0000, 0.2500], [0.3985, 0.6015, 0.7500], [0.0000, 0.3985, 0.7500], [0.6015, 0.0000, 0.7500], [0.2784, 0.7216, 0.2500], [0.0000, 0.2784, 0.2500], [0.7216, 0.0000, 0.2500], [0.7216, 0.2784, 0.7500], [0.0000, 0.7216, 0.7500], [0.2784, 0.0000, 0.7500], [0.3333, 0.3333, 0.0000], [0.6667, 0.6667, 0.5000], [0.6667, 0.6667, 0.0000], [0.3333, 0.3333, 0.5000]]
}

Entry 2:
{
  "formula": "CrHg2Ru",
  "functional": "PBE",
  "state": "relaxed",
  "e_above_lowest_polymorph_mev_per_atom": 223,
  "sg": "P4/mmm",
  "e_tot_ev_per_cell": -17.43,
  "cell": [[-2.8129, -1.6028, -2.6599], [-0.9423, -2.9765, 2.7901], [-2.8373, 2.3713, 1.5715]],
  "species": ["Cr", "Hg", "Hg", "Ru"],
  "fractional_positions": [[0.0000, 0.5000, 0.5000], [0.0000, 0.0000, 0.0000], [0.5000, 0.5000, 0.0000], [0.5000, 0.0000, 0.5000]]
}

no.,formation energy from the elements (eV/atom),total magnetization (μB per formula unit),N(E_F) (states/eV/f.u.)
1,0.231,0.001,9.02
2,0.519,3.726,5.03